No. 1
The following is a PBEsol calculation of a relaxed structure of Cs2Sn3Sb2S10, from Alexandria.

Output
- Volume: 28.1 A^3/atom
- SG: P2_1/c, No. 14
- Raw formation energy: -0.58 eV/atom
- Energy: -4.56 eV/atom
- Magnetization: 0.00 μB/atom

Cell lengths 6.9439, 10.4141, 13.2850 Å; angles 90.00, 90.00, 95.55 degrees
With the nearest neighbours (Å) after each atom.
Element x y z (fractional)
Cs: 0.3894 0.8473 0.3368  8 S 3.36-3.74
Cs: 0.8894 0.3473 0.1632  8 S 3.36-3.74
Cs: 0.6106 0.1527 0.6632  8 S 3.36-3.74
Cs: 0.1106 0.6527 0.8368  8 S 3.36-3.74
Sn: 0.5000 0.0000 0.0000  6 S 2.53-2.61
Sn: 0.0000 0.5000 0.5000  6 S 2.53-2.61
Sn: 0.5536 0.6574 0.0513  4 S 2.40-2.53
Sn: 0.0536 0.1574 0.4487  4 S 2.40-2.53
Sn: 0.4464 0.3426 0.9487  4 S 2.40-2.53
Sn: 0.9464 0.8426 0.5513  4 S 2.40-2.53
Sb: 0.9107 0.9089 0.1452  3 S 2.45-2.53
Sb: 0.4107 0.4089 0.3548  3 S 2.45-2.53
Sb: 0.0893 0.0911 0.8548  3 S 2.45-2.53
Sb: 0.5893 0.5911 0.6452  3 S 2.45-2.53
S: 0.6442 0.0425 0.1733  1 Sb 2.45, 1 Sn 2.53
S: 0.1442 0.5425 0.3267  1 Sb 2.45, 1 Sn 2.53
S: 0.3558 0.9575 0.8267  1 Sb 2.45, 1 Sn 2.53
S: 0.8558 0.4575 0.6733  1 Sb 2.45, 1 Sn 2.53
S: 0.7939 0.8660 0.9695  1 Sb 2.50, 1 Sn 2.61
S: 0.2939 0.3660 0.5305  1 Sb 2.50, 1 Sn 2.61
S: 0.2061 0.1340 0.0305  1 Sb 2.50, 1 Sn 2.61
S: 0.7061 0.6340 0.4695  1 Sb 2.50, 1 Sn 2.61
S: 0.7021 0.2040 0.9358  2 Sn 2.40-2.58
S: 0.2021 0.7040 0.5642  2 Sn 2.40-2.58
S: 0.2979 0.7960 0.0642  2 Sn 2.40-2.58
S: 0.7979 0.2960 0.4358  2 Sn 2.40-2.58
S: 0.7650 0.6862 0.1955  1 Sn 2.41, 1 Sb 2.53
S: 0.2650 0.1862 0.3045  1 Sn 2.41, 1 Sb 2.53
S: 0.2350 0.3138 0.8045  1 Sn 2.41, 1 Sb 2.53
S: 0.7350 0.8138 0.6955  1 Sn 2.41, 1 Sb 2.53
S: 0.6175 0.5549 0.8909  2 Sn 2.44-2.53
S: 0.1175 0.0549 0.6091  2 Sn 2.44-2.53
S: 0.3825 0.4451 0.1091  2 Sn 2.44-2.53
S: 0.8825 0.9451 0.3909  2 Sn 2.44-2.53

***

No. 2
The following is a PBEsol calculation of a relaxed structure of Hg2W2O7, from Alexandria.

Output
- Volume: 15.1 A^3/atom
- DOS at the Fermi energy: 0.00 states/eV/atom
- SG: P2/c, No. 13
- Raw formation energy: -1.61 eV/atom
- Energy: -7.56 eV/atom
- Polymorph energy (0 for the lowest one): 0 meV per atom
- Magnetization: 0.00 μB/atom

Cell lengths 3.8361, 6.1679, 14.2342 Å; angles 100.50, 90.00, 90.00 degrees
With the nearest neighbours (Å) after each atom.
Element x y z (fractional)
Hg: 0.6723 0.5878 0.9400  1 O 2.13
Hg: 0.3277 0.0878 0.4400  1 O 2.13
Hg: 0.6723 0.9122 0.5600  1 O 2.13
Hg: 0.3277 0.4122 0.0600  1 O 2.13
W: 0.9988 0.5044 0.3137  4 O 1.75-1.94
W: 0.9988 0.9956 0.1863  4 O 1.75-1.94
W: 0.0012 0.0044 0.8137  4 O 1.75-1.94
W: 0.0012 0.4956 0.6863  4 O 1.75-1.94
O: 0.0305 0.6384 0.4326  1 W 1.75
O: 0.4744 0.5083 0.6999  2 W 1.83-2.03
O: 0.0383 0.7500 0.2500  2 W 1.91
O: 0.9664 0.7002 0.8316  1 W 1.94, 1 Hg 2.13
O: 0.0305 0.8616 0.0674  1 W 1.75
O: 0.9664 0.7998 0.6684  1 W 1.94, 1 Hg 2.13
O: 0.5256 0.0083 0.1999  2 W 1.83-2.03
O: 0.4744 0.9917 0.8001  2 W 1.83-2.03
O: 0.0336 0.2002 0.3316  1 W 1.94, 1 Hg 2.13
O: 0.9695 0.1384 0.9326  1 W 1.75
O: 0.0336 0.2998 0.1684  1 W 1.94, 1 Hg 2.13
O: 0.9617 0.2500 0.7500  2 W 1.91
O: 0.5256 0.4917 0.3001  2 W 1.83-2.03
O: 0.9695 0.3616 0.5674  1 W 1.75

***

No. 3
The following is a PBEsol calculation of a relaxed structure of Sc2Ni2Pd, from Alexandria.

Output
- Volume: 15.2 A^3/atom
- DOS at the Fermi energy: 0.61 states/eV/atom
- SG: P4/mbm, No. 127
- Energy: -6.89 eV/atom
- Magnetization: 0.00 μB/atom

Cell lengths 3.3136, 6.7784, 6.7784 Å; angles 90.00, 90.00, 90.00 degrees
With the nearest neighbours (Å) after each atom.
Element x y z (fractional)
Sc: 0.5000 0.1786 0.6786  6 Ni 2.53-2.65
Sc: 0.5000 0.6786 0.8214  6 Ni 2.53-2.65
Sc: 0.5000 0.8214 0.3214  6 Ni 2.53-2.65
Sc: 0.5000 0.3214 0.1786  6 Ni 2.53-2.65
Ni: 0.0000 0.3779 0.8779  1 Ni 2.34, 2 Sc 2.53
Ni: 0.0000 0.8779 0.6221  1 Ni 2.34, 2 Sc 2.53
Ni: 0.0000 0.6221 0.1221  1 Ni 2.34, 2 Sc 2.53
Ni: 0.0000 0.1221 0.3779  1 Ni 2.34, 2 Sc 2.53
Pd: 0.0000 0.0000 0.0000  4 Ni 2.69, 8 Sc 2.99
Pd: 0.0000 0.5000 0.5000  4 Ni 2.69, 8 Sc 2.99

***

No. 4
The following is a PBEsol calculation of a relaxed structure of ZrNb2V, from Alexandria.

Output
- Volume: 17.3 A^3/atom
- DOS at the Fermi energy: 1.81 states/eV/atom
- SG: Fm-3m, No. 225
- Energy: -9.94 eV/atom
- Magnetization: 0.00 μB/atom

Cell lengths 4.6090, 4.6090, 4.6090 Å; angles 60.00, 60.00, 60.00 degrees
With the nearest neighbours (Å) after each atom.
Element x y z (fractional)
Nb: 0.2500 0.2500 0.2500  4 Zr 2.82, 4 V 2.82
Nb: 0.7500 0.7500 0.7500  4 V 2.82, 4 Zr 2.82
Zr: 0.0000 0.0000 0.0000  8 Nb 2.82
V: 0.5000 0.5000 0.5000  8 Nb 2.82

***

No. 5
The following is a PBEsol calculation of a relaxed structure of RePtW2, from Alexandria.

Output
- Volume: 15.1 A^3/atom
- DOS at the Fermi energy: 0.74 states/eV/atom
- SG: I4/mmm, No. 139
- Energy: -12.06 eV/atom
- Polymorph energy (0 for the lowest one): 15 meV per atom
- Magnetization: 0.00 μB/atom

Cell lengths 3.9484, 3.9484, 4.7742 Å; angles 114.43, 114.43, 90.00 degrees
With the nearest neighbours (Å) after each atom.
Element x y z (fractional)
Re: 0.5000 0.5000 0.0000  8 W 2.77, 4 Pt 2.79
Pt: 0.0000 0.0000 0.0000  8 W 2.77, 4 Re 2.79
W: 0.7500 0.2500 0.5000  4 Re 2.77, 4 Pt 2.77, 4 W 2.79
W: 0.2500 0.7500 0.5000  4 Re 2.77, 4 Pt 2.77, 4 W 2.79

***

No. 6
The following is a PBEsol calculation of a relaxed structure of MgBeHg2, from Alexandria.

Output
- Volume: 20.4 A^3/atom
- DOS at the Fermi energy: 0.41 states/eV/atom
- SG: I-42d, No. 122
- Energy: -1.46 eV/atom
- Polymorph energy (0 for the lowest one): 165 meV per atom
- Magnetization: 0.00 μB/atom

Cell lengths 4.3038, 4.3038, 9.3057 Å; angles 103.37, 103.37, 90.00 degrees
With the nearest neighbours (Å) after each atom.
Element x y z (fractional)
Be: 0.7500 0.2500 0.5000  4 Hg 2.62
Be: 0.5000 0.5000 0.0000  4 Hg 2.62
Mg: 0.2500 0.7500 0.5000  4 Hg 2.73, 4 Be 3.04
Mg: 0.0000 0.0000 0.0000  4 Hg 2.73, 4 Be 3.04
Hg: 0.4079 0.8750 0.2500  2 Be 2.62, 2 Mg 2.73, 2 Hg 2.85
Hg: 0.8421 0.3750 0.2500  2 Be 2.62, 2 Mg 2.73, 2 Hg 2.85
Hg: 0.1250 0.1579 0.7500  2 Be 2.62, 2 Mg 2.73, 2 Hg 2.85
Hg: 0.6250 0.5921 0.7500  2 Be 2.62, 2 Mg 2.73, 2 Hg 2.85

***

No. 7
The following is a PBEsol calculation of a relaxed structure of HgPt2Se2, from Alexandria.

Output
- Volume: 20.8 A^3/atom
- DOS at the Fermi energy: 1.07 states/eV/atom
- SG: I4/mmm, No. 139
- Raw formation energy: 0.12 eV/atom
- Energy: -4.31 eV/atom
- Magnetization: 0.00 μB/atom

Cell lengths 3.8469, 3.8469, 7.5328 Å; angles 104.79, 104.79, 90.00 degrees
With the nearest neighbours (Å) after each atom.
Element x y z (fractional)
Se: 0.3710 0.3710 0.7419  4 Pt 2.57
Se: 0.6290 0.6290 0.2581  4 Pt 2.57
Hg: 0.0000 0.0000 0.0000  8 Se 3.27
Pt: 0.2500 0.7500 0.5000  4 Se 2.57, 4 Pt 2.72
Pt: 0.7500 0.2500 0.5000  4 Se 2.57, 4 Pt 2.72

***

No. 8
The following is a PBEsol calculation of a relaxed structure of Al2ZnO, from Alexandria.

Output
- Volume: 13.9 A^3/atom
- DOS at the Fermi energy: 0.47 states/eV/atom
- SG: Fm-3m, No. 225
- Raw formation energy: 0.06 eV/atom
- Energy: -3.69 eV/atom
- Magnetization: 0.00 μB/atom

Cell lengths 4.2827, 4.2827, 4.2827 Å; angles 60.00, 60.00, 60.00 degrees
With the nearest neighbours (Å) after each atom.
Element x y z (fractional)
Zn: 0.5000 0.5000 0.5000  8 Al 2.62
Al: 0.2500 0.2500 0.2500  4 O 2.62, 4 Zn 2.62
Al: 0.7500 0.7500 0.7500  4 O 2.62, 4 Zn 2.62
O: 0.0000 0.0000 0.0000  8 Al 2.62